[1]
A plane-wave DFT calculation with PBE-GGA was carried out for crystalline Y6ErTm4 at its relaxed geometry.

abc: 6.504 6.504 9.710
angles: 109.59 109.55 90.00
Fractional positions:
1 Y 0.861 0.861 0.349
2 Y 0.488 0.488 0.349
3 Y 0.139 0.512 0.651
4 Y 0.500 0.000 0.000
5 Y 0.512 0.139 0.651
6 Y 0.000 0.500 0.000
7 Er 0.500 0.500 0.000
8 Tm 0.049 0.048 0.737
9 Tm 0.311 0.952 0.263
10 Tm 0.689 0.689 0.737
11 Tm 0.951 0.311 0.262

Values from the calculation:
The calculation puts the energy relative to the lowest polymorph listed for this composition at 141.5 meV/atom. The calculation puts the energy at -5.266 eV per atom. The value obtained for the energy relative to the elements is 0.30 eV per atom.

[2]
A plane-wave DFT calculation with PBE-GGA was carried out for crystalline NaBeAgO2 at its relaxed geometry.

abc: 4.926 5.728 5.540
angles: 90.00 90.00 115.47
Fractional positions:
1 Na 0.750 0.500 0.849
2 Na 0.250 0.500 0.151
3 Be 0.750 0.000 0.000
4 Be 0.250 0.000 0.000
5 Ag 0.000 0.000 0.500
6 Ag 0.500 0.000 0.500
7 O 0.915 0.830 0.147
8 O 0.585 0.170 0.147
9 O 0.415 0.830 0.853
10 O 0.085 0.170 0.853

Values from the calculation:
The formation energy from raw total energies comes out at -1322.1 meV per atom. The calculation puts the energy at -4.885 eV per atom.

[3]
A plane-wave DFT calculation with PBE-GGA was carried out for crystalline TbSm6Ho2Tm at its relaxed geometry.

abc: 9.563 8.872 8.872
angles: 117.75 93.73 93.73
Fractional positions:
1 Tb 0.250 0.974 0.026
2 Tb 0.750 0.026 0.974
3 Sm 0.055 0.120 0.760
4 Sm 0.445 0.240 0.880
5 Sm 0.945 0.880 0.240
6 Sm 0.555 0.760 0.120
7 Sm 0.313 0.989 0.435
8 Sm 0.187 0.565 0.011
9 Sm 0.687 0.011 0.565
10 Sm 0.813 0.435 0.989
11 Sm 0.118 0.709 0.491
12 Sm 0.382 0.509 0.291
13 Sm 0.882 0.291 0.509
14 Sm 0.618 0.491 0.709
15 Ho 0.454 0.799 0.698
16 Ho 0.046 0.302 0.201
17 Ho 0.546 0.201 0.302
18 Ho 0.954 0.698 0.799
19 Tm 0.250 0.411 0.589
20 Tm 0.750 0.589 0.411

Values from the calculation:
The calculation puts the energy at -4.539 eV per atom. The value obtained for the energy relative to the elements is 0.12 eV per atom.

[4]
A plane-wave DFT calculation with PBE-GGA was carried out for crystalline CaBAs2 at its relaxed geometry.

abc: 6.640 6.640 5.845
angles: 55.39 55.39 90.00
Fractional positions:
1 As 0.525 0.125 0.250
2 As 0.225 0.625 0.250
3 As 0.375 0.475 0.750
4 As 0.875 0.775 0.750
5 B 0.500 0.500 0.000
6 B 0.250 0.750 0.500
7 Ca 0.000 0.000 0.000
8 Ca 0.750 0.250 0.500

Values from the calculation:
The calculation puts the energy at -4.809 eV per atom. The value obtained for the energy relative to the elements is -0.31 eV per atom.

Per-record total magnetic moment, μB/atom: 0.000; 0.000; 0.000; 0.000
Per-record N(E_F), states/eV/f.u.: 15.1; 0.0; 13.7; 0.7
Per-record V, Å³/cell: 361.8; 141.1; 660.8; 153.5